1.
Computed, not measured: an optimized crystal structure of Ta3IrN at the GGA-PBE level of DFT.

Geometry as POSCAR:
```
Ta3IrN
1.0
4.8271 0.0000 0.0000
0.0000 4.8271 0.0000
0.0000 0.0000 4.8271
Ta Ir N
3 1 1
direct
0.0000 0.0000 0.5000
0.0000 0.5000 0.0000
0.5000 0.0000 0.0000
0.0000 0.0000 0.0000
0.5000 0.5000 0.5000
```

Computed properties:
- symmetry = Pm-3m
- raw formation energy (eV/atom) = 2.12

---

2.
Computed, not measured: an optimized crystal structure of Pr2Nd3Cd2 at the GGA-PBE level of DFT.

Geometry as POSCAR:
```
Pr2Nd3Cd2
1.0
1.8561 -16.5480 0.0000
1.8561 16.5480 0.0000
0.0000 0.0000 3.6758
Pr Nd Cd
2 3 2
direct
0.2032 0.7968 0.0000
0.7968 0.2032 0.0000
0.0774 0.9226 0.0000
0.5000 0.5000 0.5000
0.9226 0.0774 0.0000
0.3604 0.6396 0.5000
0.6396 0.3604 0.5000
```

Computed properties:
- calculated formation energy (eV/f.u.) = -0.76
- symmetry = Cmmm
- energy above the lowest structure with this stoichiometry (meV/atom) = 43

---

3.
Computed, not measured: an optimized crystal structure of Ho3Er5Sn at the GGA-PBE level of DFT.

Geometry as POSCAR:
```
Ho3Er5Sn
1.0
6.8772 -3.9917 0.0000
6.8772 3.9917 0.0000
-1.1569 0.0000 10.8443
Ho Er Sn
6 10 2
direct
0.0000 0.0000 0.0000
0.0000 0.0000 0.5000
0.2664 0.2664 0.4663
0.3340 0.3340 0.7863
0.6660 0.6660 0.2137
0.7336 0.7336 0.5337
0.0729 0.6761 0.2326
0.2392 0.2392 0.0454
0.3239 0.9271 0.7674
0.3340 0.6660 0.0000
0.4955 0.4955 0.3562
0.5045 0.5045 0.6438
0.6660 0.3340 0.0000
0.6761 0.0729 0.2326
0.7608 0.7608 0.9546
0.9271 0.3239 0.7674
0.0943 0.0943 0.2609
0.9057 0.9057 0.7391
```

Computed properties:
- calculated formation energy (eV/f.u.) = 3.32
- symmetry = C2/m

---

4.
Computed, not measured: an optimized crystal structure of Pr3Si2S8Cl at the GGA-PBE level of DFT.

Geometry as POSCAR:
```
Pr3Si2S8Cl
1.0
7.9154 -3.8666 0.0000
7.9154 3.8666 0.0000
-1.4578 0.0000 10.9655
Pr Si S Cl
6 4 16 2
direct
0.1194 0.8806 0.7500
0.1809 0.4261 0.3147
0.4261 0.1809 0.8147
0.5739 0.8191 0.1853
0.8191 0.5739 0.6853
0.8806 0.1194 0.2500
0.1263 0.1937 0.0297
0.1937 0.1263 0.5297
0.8063 0.8737 0.4703
0.8737 0.8063 0.9703
0.0552 0.2391 0.8403
0.0903 0.7772 0.4502
0.1035 0.6035 0.8563
0.2122 0.3557 0.5852
0.2228 0.9097 0.0498
0.2391 0.0552 0.3403
0.3557 0.2122 0.0852
0.3965 0.8965 0.6437
0.6035 0.1035 0.3563
0.6443 0.7878 0.9148
0.7609 0.9448 0.6597
0.7772 0.0903 0.9502
0.7878 0.6443 0.4148
0.8965 0.3965 0.1437
0.9097 0.2228 0.5498
0.9448 0.7609 0.1597
0.4900 0.5100 0.7500
0.5100 0.4900 0.2500
```

Computed properties:
- symmetry = C2/c
- raw formation energy (eV/atom) = -1.52

---

5.
Computed, not measured: an optimized crystal structure of Na6HgBi3 at the GGA-PBE level of DFT.

Geometry as POSCAR:
```
Na6HgBi3
1.0
8.6690 0.0000 0.0000
0.0000 8.1594 0.0000
-6.8198 0.0000 8.7644
Na Hg Bi
12 2 6
direct
0.0220 0.1288 0.2136
0.0220 0.3712 0.7136
0.2734 0.7004 0.6930
0.2734 0.7996 0.1930
0.3894 0.1089 0.8370
0.3894 0.3911 0.3370
0.6106 0.6089 0.6630
0.6106 0.8911 0.1630
0.7266 0.2004 0.8070
0.7266 0.2996 0.3070
0.9780 0.6288 0.2864
0.9780 0.8712 0.7864
0.5000 0.0000 0.5000
0.5000 0.5000 0.0000
0.0000 0.0000 0.5000
0.0000 0.5000 0.0000
0.2513 0.1619 0.0469
0.2513 0.3381 0.5469
0.7487 0.6619 0.4531
0.7487 0.8381 0.9531
```

Computed properties:
- calculated formation energy (eV/f.u.) = -2.45
- symmetry = P2_1/c

---

6.
Computed, not measured: an optimized crystal structure of La5YHo2Th at the GGA-PBE level of DFT.

Geometry as POSCAR:
```
La5YHo2Th
1.0
2.7533 -10.8846 0.0000
2.7533 10.8846 0.0000
0.0000 0.0000 10.7019
La Y Ho Th
10 2 4 2
direct
0.0000 0.0000 0.0000
0.0000 0.0000 0.5000
0.1275 0.8725 0.7500
0.2238 0.7762 0.0574
0.2238 0.7762 0.4426
0.4975 0.5025 0.2500
0.5025 0.4975 0.7500
0.7762 0.2238 0.5574
0.7762 0.2238 0.9426
0.8725 0.1275 0.2500
0.1023 0.8977 0.2500
0.8977 0.1023 0.7500
0.3883 0.6117 0.5084
0.3883 0.6117 0.9916
0.6117 0.3883 0.0084
0.6117 0.3883 0.4916
0.2875 0.7125 0.7500
0.7125 0.2875 0.2500
```

Computed properties:
- calculated formation energy (eV/f.u.) = 1.17
- symmetry = Cmcm